# NpTiCo2O8

Crystalline NpTiCo2O8 at its relaxed geometry (GGA+U, the Alexandria database).

The value obtained for the total magnetization is 14.02 μB/cell. Its crystal system is tetragonal. Its total energy is -7.77 eV/atom.

The structure belongs to space group I-4m2 (No. 119); the cell edges are 6.472, 6.472 and 6.831 Å and the angles 90.00°, 90.00° and 90.00°. The asymmetric unit holds Np at (0.000, 0.000, 0.000), Ti at (0.000, 0.500, 0.250), Co at (0.000, 0.000, 0.500), Co at (0.000, 0.500, 0.750), O at (0.000, 0.207, 0.314) and O at (0.000, 0.301, 0.955).